Material: ThGa2Pb
Method: DFT, PBE
State: optimized geometry

```
4
Lattice="-1.6436 0.0535 4.0342 -3.1672 -3.2677 -1.2470 3.0107 -3.4034 1.2717" Properties=species:S:1:pos:R:3 pbc="T T T"
Ga 1.5053 -1.7017 0.6358
Ga -1.5836 -1.6339 -0.6235
Pb -0.8218 0.0267 2.0171
Th -0.9000 -3.3088 2.0295
```

Properties
Size of the total moment ... 0.00 Bohr magnetons per cell
Space-group type ... No. 123
E ... -4.650 eV/atom

***

Material: SrCeTe2
Method: DFT, PBE
State: optimized geometry

```
12
Lattice="4.6154 0.0000 0.0000 -2.3077 3.9970 0.0000 0.0000 0.0000 22.6709" Properties=species:S:1:pos:R:3 pbc="T T T"
Sr 0.0000 0.0000 11.3354
Sr 0.0000 2.6647 15.2892
Sr 2.3077 1.3323 7.3817
Te 2.3077 1.3323 13.3209
Te 0.0000 0.0000 5.3846
Te 0.0000 0.0000 17.2863
Te 0.0000 2.6647 9.3499
Te 2.3077 1.3323 1.7664
Te 0.0000 2.6647 20.9045
Ce 2.3077 1.3323 19.1787
Ce 0.0000 0.0000 0.0000
Ce 0.0000 2.6647 3.4921
```

Properties
Size of the total moment ... 3.79 Bohr magnetons per cell
Space-group type ... No. 164
Uncorrected formation energy ... -1.53 eV per atom

***

Material: YCo3W
Method: DFT, PBE
State: optimized geometry

```
5
Lattice="4.4718 0.0000 0.0000 0.0000 4.4718 0.0000 0.0000 0.0000 4.4718" Properties=species:S:1:pos:R:3 pbc="T T T"
W 2.2359 2.2359 2.2359
Y 0.0000 0.0000 0.0000
Co 0.0000 2.2359 0.0000
Co 0.0000 0.0000 2.2359
Co 2.2359 0.0000 0.0000
```

Properties
Size of the total moment ... 4.87 Bohr magnetons per cell
Space-group type ... No. 221
E ... -6.076 eV/atom

***

Material: SrV3In
Method: DFT, PBE
State: optimized geometry

```
5
Lattice="-2.0095 -3.8260 -1.6983 3.7920 -0.8660 -2.5359 1.7728 -2.4844 3.4993" Properties=species:S:1:pos:R:3 pbc="T T T"
In 1.7777 -3.5882 -0.3674
V 0.8864 -1.2422 1.7497
V 1.8960 -0.4330 -1.2679
V -1.0047 -1.9130 -0.8492
Sr 0.0000 0.0000 0.0000
```

Properties
Size of the total moment ... 0.04 Bohr magnetons per cell
Space-group type ... No. 221
E ... -4.133 eV/atom

***

Material: TiSi3Tc
Method: DFT, PBE
State: optimized geometry

```
5
Lattice="4.6746 0.0000 0.0000 0.0000 4.6746 0.0000 0.0000 0.0000 4.6746" Properties=species:S:1:pos:R:3 pbc="T T T"
Si 2.3373 0.0000 0.0000
Si 0.0000 0.0000 2.3373
Si 0.0000 2.3373 0.0000
Tc 2.3373 2.3373 2.3373
Ti 0.0000 0.0000 0.0000
```

Properties
Size of the total moment ... 4.20 Bohr magnetons per cell
Space-group type ... No. 221
Uncorrected formation energy ... 1.16 eV per atom

***

Material: Y2ZnRu
Method: DFT, PBE
State: optimized geometry

```
4
Lattice="-1.7166 -4.7179 6.9389 1.6430 -5.7455 6.1354 1.0858 -2.7385 8.0422" Properties=species:S:1:pos:R:3 pbc="T T T"
Ru 0.7592 -9.9014 15.8374
Y 0.4986 -6.5028 10.4012
Y 0.0075 -0.0982 0.1570
Zn 0.2531 -3.3005 5.2791
```

Properties
Size of the total moment ... 0.00 Bohr magnetons per cell
Space-group type ... No. 166
E ... -5.982 eV/atom

***

Material: CaHg2Sb
Method: DFT, PBE
State: optimized geometry

```
4
Lattice="-1.4451 3.4119 1.6077 -1.8448 -2.3392 3.3061 5.2706 0.6349 3.3903" Properties=species:S:1:pos:R:3 pbc="T T T"
Hg -0.5038 0.6738 3.1909
Hg 0.1727 0.0208 0.1111
Sb 2.7949 0.3367 1.7978
Ca 2.1521 0.9937 4.8993
```

Properties
Size of the total moment ... 0.00 Bohr magnetons per cell
Space-group type ... No. 25
Uncorrected formation energy ... -0.33 eV per atom

***

Material: NaMn3S6
Method: DFT, PBE
State: optimized geometry

```
20
Lattice="-2.8490 -1.8586 0.1613 2.5441 -4.6991 -9.2126 4.2186 -5.7720 8.0045" Properties=species:S:1:pos:R:3 pbc="T T T"
Na 0.5438 -2.6238 -2.6533
Na 3.3698 -9.7060 1.6065
S 3.2398 -6.8743 -4.0128
S 0.9095 -6.2259 -1.7501
S 2.6144 -5.0744 5.6828
S 1.2541 -3.4672 0.1735
S 3.0041 -6.1038 0.7034
S -1.5974 -2.2914 -0.6920
S 0.6739 -5.4555 2.9660
S 1.4957 -4.2608 -4.7042
S 2.4180 -8.0690 3.6575
S 1.2992 -7.2553 -6.7295
S 5.5110 -10.0384 -0.3547
S 2.6596 -8.8625 -1.2203
Mn 0.0279 -1.5282 0.8595
Mn 0.6877 -5.6777 0.6492
Mn 0.9391 -6.5008 -4.3947
Mn 2.9745 -5.8290 3.3479
Mn 3.8857 -10.8015 -1.9063
Mn 3.2259 -6.6521 -1.6960
```

Properties
Size of the total moment ... 19.57 Bohr magnetons per cell
Space-group type ... No. 11
Uncorrected formation energy ... -0.62 eV per atom

***

Material: Tb2Tm8Tc
Method: DFT, PBE
State: optimized geometry

```
11
Lattice="5.1808 0.0000 -1.4873 -0.0746 6.3440 -0.2598 -0.0429 0.0891 9.6177" Properties=species:S:1:pos:R:3 pbc="T T T"
Tm 0.1822 1.5263 0.6348
Tm 2.1426 2.4058 7.4638
Tm 1.7292 5.5420 6.0238
Tm 2.9207 4.0274 0.4069
Tm 4.8811 4.9068 7.2358
Tm 0.7406 5.2579 2.5800
Tm 3.3341 0.8911 1.8469
Tm 4.3227 1.1753 5.2907
Tc 2.5904 0.0000 -0.7436
Tb 3.8673 4.2853 3.7044
Tb 1.1960 2.1478 4.1662
```

Properties
Size of the total moment ... 0.00 Bohr magnetons per cell
Space-group type ... No. 12
E ... -5.030 eV/atom

***

Material: Sr2TlSbBr8
Method: DFT, PBE
State: optimized geometry

```
12
Lattice="7.1756 -0.0284 -0.0043 0.0077 6.9087 -0.0067 0.0064 0.0118 9.4683" Properties=species:S:1:pos:R:3 pbc="T T T"
Tl 0.0032 0.0059 4.7342
Br 1.1034 5.2669 2.0112
Br 6.0863 1.6253 7.4462
Br 4.8222 5.2028 9.4599
Br 2.6407 1.8376 4.7310
Br 2.3675 1.6894 -0.0025
Br 4.5490 5.0545 4.7264
Br 1.1089 5.2749 7.4459
Br 6.0808 1.6172 2.0115
Sr 3.5966 3.4486 7.0939
Sr 3.5931 3.4435 2.3635
Sb 0.0000 0.0000 0.0000
```

Properties
Size of the total moment ... 0.00 Bohr magnetons per cell
Space-group type ... No. 10
Uncorrected formation energy ... -1.37 eV per atom

***

Material: Ho6Rh2O
Method: DFT, PBE
State: optimized geometry

```
18
Lattice="-3.3181 5.1211 -1.5851 -0.1012 -2.1343 -6.6834 -8.1324 -4.4875 1.5561" Properties=species:S:1:pos:R:3 pbc="T T T"
Rh -6.3509 -4.4345 -2.9450
Rh -5.2008 2.9338 -3.7674
Rh -7.5786 -1.2519 -0.2595
Rh -3.9731 -0.2488 -6.4529
Ho -5.1806 -2.3070 -1.5258
Ho -3.2562 2.4727 -5.7065
Ho -2.4996 -0.5898 -0.0353
Ho -6.3711 0.8063 -5.1866
Ho -3.2834 -0.3120 -3.7954
Ho -9.0520 -0.9108 -6.6771
Ho -8.2683 -1.1887 -2.9170
Ho -5.8730 1.1547 -1.5627
Ho -8.7919 -4.2874 -4.5220
Ho -5.6787 -2.6554 -5.1497
Ho -8.2955 -3.9734 -1.0060
Ho -2.7597 2.7867 -2.1904
O -4.0662 -2.2438 0.7781
O -1.7096 1.4934 -4.1343
```

Properties
Size of the total moment ... 0.00 Bohr magnetons per cell
Space-group type ... No. 14
Uncorrected formation energy ... -1.11 eV per atom

***

Material: In2GaBiI6
Method: DFT, PBE
State: optimized geometry

```
10
Lattice="8.4529 0.0032 0.0016 4.2292 7.3213 0.0014 4.2283 2.4424 7.3610" Properties=species:S:1:pos:R:3 pbc="T T T"
Bi 4.2270 2.4411 0.1820
I 6.7656 7.8137 1.9259
I 6.7593 1.9539 1.9256
I 6.0111 5.2852 5.6377
I 10.0259 6.7993 5.6376
I 9.3294 2.5654 5.6385
I 11.8386 4.8827 1.9260
In 8.4566 4.8832 3.1920
In 4.2286 2.4433 6.9352
Ga 12.6823 7.3252 3.9304
```

Properties
Size of the total moment ... 0.00 Bohr magnetons per cell
Space-group type ... No. 146
Uncorrected formation energy ... -0.42 eV per atom

***

Material: BC3
Method: DFT, PBE
State: optimized geometry

```
12
Lattice="2.5453 0.0000 0.0000 -1.2726 2.2043 0.0000 0.0000 0.0000 13.1583" Properties=species:S:1:pos:R:3 pbc="T T T"
C 1.2726 0.7348 9.1375
C 1.2726 0.7348 2.7368
C 0.0000 1.4695 2.2534
C 0.0000 0.0000 0.1732
C 0.0000 1.4695 0.6746
C 0.0000 0.0000 5.0299
C 0.0000 1.4695 7.0695
C 0.0000 0.0000 6.5453
C 0.0000 1.4695 8.6223
B 0.0000 0.0000 11.7451
B 1.2726 0.7348 10.7252
B 1.2726 0.7348 4.3684
```

Properties
Size of the total moment ... 0.03 Bohr magnetons per cell
Space-group type ... No. 156
E ... -8.321 eV/atom

***

Material: ZrScW
Method: DFT, PBE
State: optimized geometry

```
3
Lattice="5.1672 0.0006 -0.0018 2.1447 4.7011 0.0018 -2.9264 -3.4854 2.4471" Properties=species:S:1:pos:R:3 pbc="T T T"
Zr 4.8874 3.1427 0.0000
W 2.4479 1.5740 0.0000
Sc 7.2886 4.6867 0.0000
```

Properties
Size of the total moment ... 0.00 Bohr magnetons per cell
Space-group type ... No. 44
E ... -8.999 eV/atom

***

Material: Mg2Bi4Pb3
Method: DFT, PBE
State: optimized geometry

```
9
Lattice="4.8251 -0.0307 -0.1365 2.3836 6.0432 -0.7496 -0.2361 -3.5239 9.9481" Properties=species:S:1:pos:R:3 pbc="T T T"
Mg 4.6353 3.6688 0.5638
Mg 2.3373 -1.1802 8.4982
Bi 2.5902 3.6057 6.0619
Bi 4.4922 0.7866 7.4491
Bi 2.4804 1.7020 1.6129
Bi 4.3824 -1.1172 3.0000
Pb 0.0000 0.0000 0.0000
Pb 4.9315 2.5152 3.9180
Pb 2.0411 -0.0267 5.1440
```

Properties
Size of the total moment ... 0.00 Bohr magnetons per cell
Space-group type ... No. 2
E ... -3.332 eV/atom

***

Material: DyNbGa4
Method: DFT, PBE
State: optimized geometry

```
6
Lattice="5.3076 0.0000 0.0000 2.6538 4.5965 0.0000 2.6538 1.5322 4.3336" Properties=species:S:1:pos:R:3 pbc="T T T"
Ga 5.3076 1.5267 2.7105
Ga 3.9759 3.8332 2.7105
Ga 6.6392 3.8332 2.7105
Ga 5.3076 3.0643 0.5359
Nb 0.0000 0.0000 0.0000
Dy 2.6538 1.5322 1.0834
```

Properties
Size of the total moment ... 0.00 Bohr magnetons per cell
Space-group type ... No. 216
E ... -4.810 eV/atom

***

Material: La3BiIr
Method: DFT, PBE
State: optimized geometry

```
10
Lattice="-3.7770 -1.7935 1.0381 3.8809 -4.1413 6.9652 0.0549 7.6897 4.5415" Properties=species:S:1:pos:R:3 pbc="T T T"
La 1.2599 0.1087 4.7731
La -0.9282 -1.8983 2.2860
La 0.5819 -0.1497 10.7922
La -1.1010 1.6462 7.7717
La 1.0871 3.6532 10.2588
La -0.4231 1.9046 1.7526
Bi 0.3153 -1.3855 7.6929
Bi -0.1564 3.1405 4.8518
Ir -1.5408 0.3730 3.9778
Ir 1.6997 1.3819 8.5670
```

Properties
Size of the total moment ... 0.00 Bohr magnetons per cell
Space-group type ... No. 63
E ... -6.116 eV/atom

***

Material: Sc3ZnSi
Method: DFT, PBE
State: optimized geometry

```
5
Lattice="5.0012 0.0000 0.0000 0.0000 5.0012 0.0000 0.0000 0.0000 5.0012" Properties=species:S:1:pos:R:3 pbc="T T T"
Zn 2.5006 2.5006 2.5006
Si 0.0000 0.0000 0.0000
Sc 2.5006 0.0000 0.0000
Sc 0.0000 0.0000 2.5006
Sc 0.0000 2.5006 0.0000
```

Properties
Size of the total moment ... 0.00 Bohr magnetons per cell
Space-group type ... No. 221
Uncorrected formation energy ... 0.00 eV per atom

***

Material: Zn2Co2Ir
Method: DFT, PBE
State: optimized geometry

```
10
Lattice="-3.3175 0.6471 -5.8963 -4.8697 -4.1546 2.2839 -1.3657 2.1531 1.0047" Properties=species:S:1:pos:R:3 pbc="T T T"
Ir 0.0000 0.0000 0.0000
Ir -4.0936 -1.7537 -1.8062
Zn -2.2377 -1.4673 0.1028
Zn -5.4884 -3.3855 -0.2054
Zn -2.6988 -0.1220 -3.4071
Zn -5.9495 -2.0401 -3.7153
Co -5.0158 0.2544 -3.6258
Co -6.9422 -1.9220 -1.5801
Co -2.6107 0.5676 -1.0277
Co -4.5371 -1.6088 1.0180
```

Properties
Size of the total moment ... 4.00 Bohr magnetons per cell
Space-group type ... No. 127
E ... -4.944 eV/atom

***

Material: Mn2InW
Method: DFT, PBE
State: optimized geometry

```
4
Lattice="8.6528 0.0485 0.0286 8.1250 2.9761 0.0286 8.1250 1.4647 2.5909" Properties=species:S:1:pos:R:3 pbc="T T T"
W 6.2257 1.1223 0.6620
Mn 24.7170 4.4558 2.6283
Mn 12.6371 2.2781 1.3438
In 18.6770 3.3670 1.9860
```

Properties
Size of the total moment ... 4.69 Bohr magnetons per cell
Space-group type ... No. 166
E ... -8.098 eV/atom

***

Material: Li2FeAu
Method: DFT, PBE
State: optimized geometry

```
4
Lattice="2.7243 0.0598 0.0000 -0.0641 2.7242 0.0000 0.0000 0.0000 7.9407" Properties=species:S:1:pos:R:3 pbc="T T T"
Li 0.0000 0.0000 3.9433
Li 0.0000 0.0000 0.0271
Fe 1.3301 1.3920 5.9555
Au 1.3301 1.3920 1.9852
```

Properties
Size of the total moment ... 2.58 Bohr magnetons per cell
Space-group type ... No. 123
E ... -3.890 eV/atom

***

Material: AlRuPbI2
Method: DFT, PBE
State: optimized geometry

```
5
Lattice="-3.7749 -1.3042 -3.8983 1.2980 -4.5071 0.2509 -3.8103 -0.8756 3.9827" Properties=species:S:1:pos:R:3 pbc="T T T"
Al 0.0000 0.0000 0.0000
I -1.9052 -0.4378 1.9914
I -1.8875 -0.6521 -1.9491
Ru 0.6490 -2.2536 0.1255
Pb -3.1436 -3.3435 0.1677
```

Properties
Size of the total moment ... 0.00 Bohr magnetons per cell
Space-group type ... No. 123
Uncorrected formation energy ... 0.73 eV per atom

***

Material: Ba2Cu2O5
Method: DFT, PBE
State: optimized geometry

```
36
Lattice="-2.7781 2.9236 -1.1360 -4.2507 -6.9227 -7.4211 -8.9409 -4.7752 9.5757" Properties=species:S:1:pos:R:3 pbc="T T T"
O -3.3818 -1.3439 1.8755
O -13.1401 -7.7252 -0.2655
O -4.8593 -2.0387 -1.4312
O -5.4045 -2.9215 1.0304
O -7.2407 -6.6871 -2.5619
O -8.2512 -4.1672 -5.6596
O -4.4523 -4.6779 -3.9767
O -10.6813 -4.6148 3.5814
O -9.2602 -2.8908 2.5779
O -6.8787 -4.1585 5.7788
O -11.0125 -6.7448 -0.9801
O -2.7000 -0.8239 -0.4187
O -9.0102 -4.2925 0.2781
O -12.7292 -7.0085 2.3058
O -10.8929 -3.2429 5.8981
O -10.2706 -6.2870 1.5503
O -7.2017 -0.4977 3.8590
O -4.8955 -6.2083 -6.9879
O -5.8406 -4.4544 -1.9714
O -3.0870 -2.4135 -3.4069
Cu -5.8272 -5.7587 -3.2840
Cu -10.1006 -2.9931 4.2576
Cu -12.3540 -7.5616 -1.9625
Cu -11.8125 -6.8895 0.7162
Cu -9.8248 -4.5253 1.9132
Cu -1.9552 -0.3258 1.2027
Cu -4.4844 -3.3621 -2.6730
Cu -4.1152 -1.8623 0.2575
Ba -9.2470 -6.2904 -4.3733
Ba -7.4067 -2.5292 -0.7793
Ba -5.6881 -3.6967 -6.2865
Ba -10.6073 -7.3369 3.9873
Ba -6.5755 -3.0982 3.3359
Ba -8.3746 -6.9029 -0.2412
Ba -8.7670 -3.5756 7.5813
Ba -3.8890 0.1080 -2.7094
```

Properties
Size of the total moment ... 0.00 Bohr magnetons per cell
Space-group type ... No. 33
Uncorrected formation energy ... -1.54 eV per atom